1.
Computed, not measured: an optimized crystal structure of Ca3PrCd2 at the PBE level of DFT.

## Properties
**Formation energy from the elements**: -224 meV per atom
**Spin magnetization**: 0.000 μB/atom

Geometry as CIF:
```
data_Ca3PrCd2
_chemical_formula_sum 'Ca6 Pr2 Cd4'
_cell_length_a 5.335
_cell_length_b 10.106
_cell_length_c 7.148
_cell_angle_alpha 90.00
_cell_angle_beta 90.00
_cell_angle_gamma 90.00
_symmetry_space_group_name_H-M 'P m c 21'
_symmetry_Int_Tables_number 26
_symmetry_space_group_name_Hall 'P 2c -2'
loop_
_atom_site_label
_atom_site_type_symbol
_atom_site_fract_x
_atom_site_fract_y
_atom_site_fract_z
_atom_site_occupancy
Ca1 Ca 0.000 0.054 0.000 1
Ca2 Ca 0.000 0.314 0.368 1
Ca3 Ca 0.500 0.185 0.706 1
Pr1 Pr 0.500 0.451 0.074 1
Cd1 Cd 0.000 0.366 0.820 1
Cd2 Cd 0.500 0.140 0.250 1
```

***

2.
Computed, not measured: an optimized crystal structure of Ta2AgAu at the PBE level of DFT.

## Properties
**Polymorph energy (0 for the lowest one)**: 176.2 meV/atom
**Formation energy from the elements**: 196 meV per atom
**Spin magnetization**: 0.000 μB/atom

Geometry as CIF:
```
data_Ta2AgAu
_chemical_formula_sum 'Ta4 Ag2 Au2'
_cell_length_a 10.011
_cell_length_b 2.900
_cell_length_c 4.995
_cell_angle_alpha 90.00
_cell_angle_beta 99.31
_cell_angle_gamma 90.00
_symmetry_space_group_name_H-M 'C 1 2/m 1'
_symmetry_Int_Tables_number 12
_symmetry_space_group_name_Hall '-C 2y'
loop_
_atom_site_label
_atom_site_type_symbol
_atom_site_fract_x
_atom_site_fract_y
_atom_site_fract_z
_atom_site_occupancy
Ta1 Ta 0.248 0.000 0.247 1
Ag1 Ag 0.000 0.000 0.500 1
Au1 Au 0.000 0.500 0.000 1
```

***

3.
Computed, not measured: an optimized crystal structure of TbSnBi at the PBE level of DFT.

## Properties
**Polymorph energy (0 for the lowest one)**: 157.9 meV/atom
**Formation energy from the elements**: -445 meV per atom
**Spin magnetization**: 0.000 μB/atom

Geometry as CIF:
```
data_TbSnBi
_chemical_formula_sum 'Tb4 Sn4 Bi4'
_cell_length_a 6.195
_cell_length_b 6.237
_cell_length_c 9.556
_cell_angle_alpha 90.00
_cell_angle_beta 92.59
_cell_angle_gamma 90.00
_symmetry_space_group_name_H-M 'C 1 2/m 1'
_symmetry_Int_Tables_number 12
_symmetry_space_group_name_Hall '-C 2y'
loop_
_atom_site_label
_atom_site_type_symbol
_atom_site_fract_x
_atom_site_fract_y
_atom_site_fract_z
_atom_site_occupancy
Tb1 Tb 0.167 0.000 0.286 1
Sn1 Sn 0.245 0.000 0.960 1
Bi1 Bi 0.168 0.500 0.362 1
```

***

4.
Computed, not measured: an optimized crystal structure of SmCdSi at the PBE level of DFT.

## Properties
**Uncorrected formation energy**: -0.50 eV/atom
**Spin magnetization**: 0.000 μB/atom

Geometry as CIF:
```
data_SmCdSi
_chemical_formula_sum 'Sm4 Cd4 Si4'
_cell_length_a 4.277
_cell_length_b 16.851
_cell_length_c 3.867
_cell_angle_alpha 90.00
_cell_angle_beta 90.00
_cell_angle_gamma 90.00
_symmetry_space_group_name_H-M 'C m c m'
_symmetry_Int_Tables_number 63
_symmetry_space_group_name_Hall '-C 2c 2'
loop_
_atom_site_label
_atom_site_type_symbol
_atom_site_fract_x
_atom_site_fract_y
_atom_site_fract_z
_atom_site_occupancy
Sm1 Sm 0.000 0.092 0.250 1
Cd1 Cd 0.000 0.287 0.250 1
Si1 Si 0.000 0.457 0.250 1
```

***

Record-wise calculated density values, in g/cm3: 4.2, 15.5, 8.8, 6.9
Record-wise density of states at the Fermi level values, in states/eV/atom: 1.14, 0.75, 0.37, 0.61